Crystalline K3Pu2BiTe6 at its relaxed geometry. Source: Alexandria, functional GGA-PBE.

## Properties
Formation energy without anion corrections (eV per atom): -0.94

a = 7.9452 Å, b = 13.7597 Å, c = 8.6288 Å
α = 90.00°, β = 107.84°, γ = 90.00°
Space group C2/m (No. 12)
Inequivalent atoms, fractional coordinates:
K 0.0000 0.0000 0.0000 x2
K 0.0000 0.3355 0.0000 x4
Pu 0.0000 0.1669 0.5000 x4
Bi 0.0000 0.5000 0.5000 x2
Te 0.2322 0.0000 0.7095 x4
Te 0.2388 0.3313 0.7102 x8

Crystalline K3PuBi2Te6 at its relaxed geometry. Source: Alexandria, functional GGA-PBE.

## Properties
Formation energy without anion corrections (eV per atom): -0.77

a = 7.9665 Å, b = 13.8093 Å, c = 8.6797 Å
α = 90.00°, β = 107.83°, γ = 90.00°
Space group C2/m (No. 12)
Inequivalent atoms, fractional coordinates:
K 0.0000 0.0000 0.0000 x2
K 0.0000 0.3313 0.0000 x4
Pu 0.0000 0.5000 0.5000 x2
Bi 0.0000 0.1663 0.5000 x4
Te 0.2364 0.3336 0.7107 x8
Te 0.2381 0.0000 0.7119 x4

Crystalline K4Pu3BiTe8 at its relaxed geometry. Source: Alexandria, functional GGA-PBE.

## Properties
Formation energy without anion corrections (eV per atom): -0.98

a = 9.1824 Å, b = 9.1824 Å, c = 24.5784 Å
α = 90.00°, β = 90.00°, γ = 120.00°
Space group R-3m (No. 166, hexagonal axes)
Inequivalent atoms, fractional coordinates:
K 0.0000 0.0000 0.0000 x3
K 0.0000 0.5000 0.0000 x9
Pu 0.0000 0.5000 0.5000 x9
Bi 0.0000 0.0000 0.5000 x3
Te 0.0000 0.0000 0.2357 x6
Te 0.0029 0.5015 0.7633 x18

Crystalline K2PuBiTe4 at its relaxed geometry. Source: Alexandria, functional GGA-PBE.

## Properties
Formation energy without anion corrections (eV per atom): -0.86

a = 7.9856 Å, b = 4.5951 Å, c = 8.6424 Å
α = 90.00°, β = 107.97°, γ = 90.00°
Space group P2/m (No. 10)
Inequivalent atoms, fractional coordinates:
K 0.0000 0.0000 0.0000 x1
K 0.5000 0.5000 0.0000 x1
Pu 0.0000 0.5000 0.5000 x1
Bi 0.5000 0.0000 0.5000 x1
Te 0.2332 0.0000 0.7090 x2
Te 0.2612 0.5000 0.2882 x2

Crystalline KPuTlBi at its relaxed geometry. Source: Alexandria, functional GGA-PBE.

a = 8.0569 Å, b = 8.0569 Å, c = 8.0569 Å
α = 90.00°, β = 90.00°, γ = 90.00°
Space group F-43m (No. 216)
Inequivalent atoms, fractional coordinates:
K 0.0000 0.0000 0.0000 x4
Pu 0.0000 0.0000 0.5000 x4
Tl 0.2500 0.2500 0.7500 x4
Bi 0.2500 0.2500 0.2500 x4

Crystalline K4RbBi4 at its relaxed geometry. Source: Alexandria, functional GGA-PBE.

a = 11.3891 Å, b = 11.3891 Å, c = 7.2155 Å
α = 90.00°, β = 90.00°, γ = 90.00°
Space group P4_2/n (No. 86, origin choice 2)
Inequivalent atoms, fractional coordinates:
K 0.0852 0.6474 0.1132 x8
Rb 0.2500 0.2500 0.2500 x2
Bi 0.0301 0.6032 0.6109 x8

Crystalline KRb4Bi2 at its relaxed geometry. Source: Alexandria, functional GGA-PBE.

a = 6.4913 Å, b = 6.4913 Å, c = 36.3739 Å
α = 90.00°, β = 90.00°, γ = 120.00°
Space group R-3m (No. 166, hexagonal axes)
Inequivalent atoms, fractional coordinates:
K 0.0000 0.0000 0.0000 x3
Rb 0.0000 0.0000 0.2015 x6
Rb 0.0000 0.0000 0.4118 x6
Bi 0.0000 0.0000 0.0961 x6

Crystalline KRb2Bi2 at its relaxed geometry. Source: Alexandria, functional GGA-PBE.

## Properties
Offset from the most stable computed form (meV per atom): 109

a = 5.6975 Å, b = 5.6975 Å, c = 15.7763 Å
α = 90.00°, β = 90.00°, γ = 90.00°
Space group I4/mmm (No. 139)
Inequivalent atoms, fractional coordinates:
K 0.0000 0.0000 0.0000 x2
Rb 0.0000 0.5000 0.2500 x4
Bi 0.0000 0.0000 0.4072 x4

Crystalline KRbBi2 at its relaxed geometry. Source: Alexandria, functional GGA-PBE.

## Properties
Offset from the most stable computed form (meV per atom): 260

a = 8.5696 Å, b = 8.5696 Å, c = 8.5696 Å
α = 90.00°, β = 90.00°, γ = 90.00°
Space group Fm-3m (No. 225)
Inequivalent atoms, fractional coordinates:
K 0.0000 0.0000 0.0000 x4
Rb 0.0000 0.0000 0.5000 x4
Bi 0.2500 0.2500 0.2500 x8

Crystalline KRb3Bi at its relaxed geometry. Source: Alexandria, functional GGA-PBE.

## Properties
Offset from the most stable computed form (meV per atom): 0

a = 7.3152 Å, b = 7.3152 Å, c = 7.3152 Å
α = 90.00°, β = 90.00°, γ = 90.00°
Space group Pm-3m (No. 221)
Inequivalent atoms, fractional coordinates:
K 0.0000 0.0000 0.0000 x1
Rb 0.0000 0.5000 0.5000 x3
Bi 0.5000 0.5000 0.5000 x1

Crystalline KRb2Bi2 at its relaxed geometry. Source: Alexandria, functional GGA-PBE.

## Properties
Offset from the most stable computed form (meV per atom): 125

a = 10.2341 Å, b = 10.2341 Å, c = 4.3604 Å
α = 90.00°, β = 90.00°, γ = 90.00°
Space group P4/mbm (No. 127)
Inequivalent atoms, fractional coordinates:
K 0.0000 0.0000 0.0000 x2
Rb 0.1792 0.3208 0.0000 x4
Bi 0.1083 0.6083 0.5000 x4

Crystalline KRbBi2 at its relaxed geometry. Source: Alexandria, functional GGA-PBE.

## Properties
Offset from the most stable computed form (meV per atom): 68

a = 5.0571 Å, b = 5.0571 Å, c = 5.7260 Å
α = 90.00°, β = 90.00°, γ = 90.00°
Space group P4/mmm (No. 123)
Inequivalent atoms, fractional coordinates:
K 0.0000 0.0000 0.0000 x1
Rb 0.5000 0.5000 0.0000 x1
Bi 0.0000 0.5000 0.5000 x2

Sequential E_tot output: -132.0; -106.9; -276.4; -39.8; -87.8; -45.6; -43.3; -23.5; -40.4; -8.4; -23.3; -10.9 eV for the cell shown